Entry 1:
K2MnNi: optimized geometry, PBE.

abc: 6.749 6.749 6.749
angles: 148.09 128.77 61.64
Each line ends with the local moment (μB).
Atoms (fractional coordinates):
Mn  0.575  0.575  0.000  3.87
K  0.267  0.767  0.500  0.00
K  0.963  0.963  0.000  0.00
Ni  0.695  0.195  0.500  0.56

The total magnetization comes out at 1.201 μB/atom. The energy above the most stable polymorph in this dataset comes out at 0.143 eV/atom. The symmetry is No. 44. As for the formation energy: 0.646 eV per atom. As for the total energy: -14.56 eV per cell.

***

Entry 2:
K2MnNi: optimized geometry, PBE.

abc: 11.473 11.473 11.473
angles: 16.21 16.21 16.21
Each line ends with the local moment (μB).
Atoms (fractional coordinates):
Ni  0.250  0.250  0.250  0.07
K  0.991  0.991  0.991  -0.01
K  0.509  0.509  0.509  -0.01
Mn  0.750  0.750  0.750  4.11

The total magnetization comes out at 1.094 μB/atom. The energy above the most stable polymorph in this dataset comes out at 0.588 eV/atom. The symmetry is No. 166. As for the formation energy: 1.091 eV per atom. As for the total energy: -12.78 eV per cell.

***

Entry 3:
K2MnNi: optimized geometry, PBE.

abc: 4.403 4.397 5.383
angles: 90.00 90.00 90.00
Each line ends with the local moment (μB).
Atoms (fractional coordinates):
K  0.000  0.000  0.000  -0.01
K  0.500  0.500  0.000  -0.01
Mn  0.500  0.000  0.500  4.12
Ni  0.000  0.500  0.500  0.25

The total magnetization comes out at 1.149 μB/atom. The energy above the most stable polymorph in this dataset comes out at 0.505 eV/atom. The symmetry is No. 123. As for the formation energy: 1.008 eV per atom. As for the total energy: -13.11 eV per cell.

***

Entry 4:
KMnNi2: optimized geometry, PBE.

abc: 2.798 3.460 7.687
angles: 90.00 90.00 90.00
Each line ends with the local moment (μB).
Atoms (fractional coordinates):
Ni  0.500  0.500  0.159  0.53
Ni  0.000  0.000  0.011  0.64
Mn  0.500  0.500  0.854  3.68
K  0.000  0.000  0.475  0.01

The total magnetization comes out at 1.277 μB/atom. The energy above the most stable polymorph in this dataset comes out at 0.109 eV/atom. The symmetry is No. 25. As for the formation energy: 0.541 eV per atom. As for the total energy: -19.67 eV per cell.

***

Entry 5:
KMnNi2: optimized geometry, PBE.

abc: 5.711 5.711 5.711
angles: 152.02 122.88 64.79
Each line ends with the local moment (μB).
Atoms (fractional coordinates):
K  0.750  0.250  0.500  0.01
Ni  0.047  0.047  0.000  0.58
Ni  0.453  0.453  0.000  0.58
Mn  0.250  0.750  0.500  3.52

The total magnetization comes out at 1.201 μB/atom. The energy above the most stable polymorph in this dataset comes out at 0.380 eV/atom. The symmetry is No. 71. As for the formation energy: 0.812 eV per atom. As for the total energy: -18.58 eV per cell.

***

Entry 6:
K2MnNi: optimized geometry, PBE.

abc: 3.469 3.469 10.103
angles: 90.00 90.00 90.00
Each line ends with the local moment (μB).
Atoms (fractional coordinates):
Ni  0.500  0.500  0.649  0.52
K  0.000  0.000  0.917  -0.01
K  0.500  0.500  0.331  0.00
Mn  0.000  0.000  0.603  3.80

The total magnetization comes out at 1.114 μB/atom. The energy above the most stable polymorph in this dataset comes out at 0.011 eV/atom. The symmetry is No. 99. As for the formation energy: 0.514 eV per atom. As for the total energy: -15.09 eV per cell.

***

Entry 7:
KMn2Ni4: optimized geometry, PBE.

abc: 4.497 4.497 7.074
angles: 71.47 71.47 90.00
Each line ends with the local moment (μB).
Atoms (fractional coordinates):
K  0.000  0.000  0.000  -0.02
Ni  0.212  0.212  0.575  0.63
Ni  0.788  0.788  0.425  0.63
Ni  0.000  0.500  0.000  0.43
Ni  0.500  0.000  0.000  0.43
Mn  0.391  0.391  0.218  3.72
Mn  0.609  0.609  0.782  3.72

The total magnetization comes out at 1.411 μB/atom. The symmetry is No. 139. As for the formation energy: 1.561 eV per atom. As for the total energy: -31.63 eV per cell.

***

Entry 8:
KMnNi2: optimized geometry, PBE.

abc: 2.966 2.963 7.762
angles: 90.00 90.00 90.00
Each line ends with the local moment (μB).
Atoms (fractional coordinates):
K  0.500  0.500  0.250  -0.02
Ni  0.000  0.000  0.582  0.43
Ni  0.000  0.000  0.918  0.43
Mn  0.500  0.500  0.750  3.10

The total magnetization comes out at 0.970 μB/atom. The energy above the most stable polymorph in this dataset comes out at 0.000 eV/atom. The symmetry is No. 123. As for the formation energy: 0.432 eV per atom. As for the total energy: -20.10 eV per cell.

***

Entry 9:
KMnNi2: optimized geometry, PBE.

abc: 3.996 2.808 7.016
angles: 79.42 90.00 90.00
Each line ends with the local moment (μB).
Atoms (fractional coordinates):
K  0.000  0.464  0.482  0.00
Ni  0.500  0.106  0.166  0.42
Ni  0.000  0.194  0.969  0.50
Mn  0.500  0.736  0.882  3.55

The total magnetization comes out at 1.165 μB/atom. The energy above the most stable polymorph in this dataset comes out at 0.105 eV/atom. The symmetry is No. 6. As for the formation energy: 0.537 eV per atom. As for the total energy: -19.68 eV per cell.

***

Entry 10:
KMnNi2: optimized geometry, PBE.

abc: 4.787 4.787 8.988
angles: 74.56 74.56 90.00
Each line ends with the local moment (μB).
Atoms (fractional coordinates):
Ni  0.875  0.125  0.250  0.76
Ni  0.875  0.125  0.750  0.55
Ni  0.875  0.625  0.250  0.76
Ni  0.375  0.125  0.750  0.56
K  0.250  0.750  0.500  -0.01
K  0.500  0.500  0.000  -0.01
Mn  0.750  0.250  0.500  3.86
Mn  0.000  0.000  0.000  3.86

The total magnetization comes out at 1.337 μB/atom. The energy above the most stable polymorph in this dataset comes out at 0.359 eV/atom. The symmetry is No. 141. As for the formation energy: 0.791 eV per atom. As for the total energy: -37.33 eV per cell.

***

Entry 11:
K2MnNi: optimized geometry, PBE.

abc: 10.203 10.203 3.888
angles: 78.95 78.95 17.89
Each line ends with the local moment (μB).
Atoms (fractional coordinates):
Ni  0.250  0.250  0.250  0.57
Mn  0.750  0.750  0.750  3.82
K  0.897  0.897  0.103  -0.01
K  0.603  0.603  0.397  -0.01

The total magnetization comes out at 1.127 μB/atom. The energy above the most stable polymorph in this dataset comes out at 0.000 eV/atom. The symmetry is No. 12. As for the formation energy: 0.503 eV per atom. As for the total energy: -15.13 eV per cell.

***

Entry 12:
K2MnNi: optimized geometry, PBE.

abc: 3.169 3.169 10.845
angles: 90.00 90.00 89.98
Each line ends with the local moment (μB).
Atoms (fractional coordinates):
Ni  0.500  0.500  0.750  -0.19
Mn  0.500  0.500  0.250  4.09
K  0.000  0.000  0.537  -0.01
K  0.000  0.000  0.963  -0.01

The total magnetization comes out at 1.008 μB/atom. The energy above the most stable polymorph in this dataset comes out at 0.564 eV/atom. The symmetry is No. 123. As for the formation energy: 1.067 eV per atom. As for the total energy: -12.88 eV per cell.